Record 1
First-principles (GGA-PBE) data for an optimized crystal structure of LiSbTe2I, as listed in Alexandria.

Values from the calculation:
The total magnetic moment comes out at 0.23 μB/atom. The value obtained for the volume is 208.0 Å³ per cell. The calculation puts the excess energy over the best structure of this formula in the dataset at 0.597 eV/atom. The uncorrected formation energy comes out at 3.1 eV/f.u. The crystal system is tetragonal.

Lattice parameters (Å, degrees): 5.9419 5.9419 5.8913 90.00 90.00 90.00
Fractional positions:
1 Li 0.0000 0.0000 0.0000
2 Sb 0.5000 0.5000 0.0000
3 Te 0.0000 0.5000 0.5000
4 Te 0.5000 0.0000 0.5000
5 I 0.5000 0.5000 0.5000

---

Record 2
First-principles (GGA-PBE) data for an optimized crystal structure of LiSbTe2I, as listed in Alexandria.

Values from the calculation:
The total magnetic moment comes out at 0.00 μB/atom. The value obtained for the volume is 145.8 Å³ per cell. The calculation puts the excess energy over the best structure of this formula in the dataset at 0.213 eV/atom. The uncorrected formation energy comes out at 1.2 eV/f.u. The crystal system is tetragonal.

Lattice parameters (Å, degrees): 4.9402 4.9402 5.9758 90.00 90.00 90.00
Fractional positions:
1 Li 0.0000 0.0000 0.0000
2 Sb 0.0000 0.0000 0.5000
3 Te 0.0000 0.5000 0.0000
4 Te 0.5000 0.0000 0.0000
5 I 0.5000 0.5000 0.5000

---

Record 3
First-principles (GGA-PBE) data for an optimized crystal structure of LiSb2TeI, as listed in Alexandria.

Values from the calculation:
The total magnetic moment comes out at 0.00 μB/atom. The value obtained for the volume is 140.9 Å³ per cell. The calculation puts the excess energy over the best structure of this formula in the dataset at 0.025 eV/atom. The uncorrected formation energy comes out at 1.5 eV/f.u. The crystal system is tetragonal.

Lattice parameters (Å, degrees): 5.3595 5.3595 4.9045 90.00 90.00 90.00
Fractional positions:
1 Li 0.0000 0.0000 0.0000
2 Sb 0.0000 0.5000 0.0000
3 Sb 0.5000 0.0000 0.0000
4 Te 0.0000 0.0000 0.5000
5 I 0.5000 0.5000 0.5000

---

Record 4
First-principles (GGA-PBE) data for an optimized crystal structure of LiTiSb2I, as listed in Alexandria.

Values from the calculation:
The total magnetic moment comes out at 0.00 μB/atom. The value obtained for the volume is 129.8 Å³ per cell. The calculation puts the excess energy over the best structure of this formula in the dataset at 0.653 eV/atom. The uncorrected formation energy comes out at 2.8 eV/f.u. The crystal system is tetragonal.

Lattice parameters (Å, degrees): 4.8791 4.8791 5.4525 90.00 90.00 90.00
Fractional positions:
1 Li 0.0000 0.0000 0.0000
2 Ti 0.5000 0.5000 0.5000
3 Sb 0.0000 0.5000 0.0000
4 Sb 0.5000 0.0000 0.0000
5 I 0.0000 0.0000 0.5000

---

Record 5
First-principles (GGA-PBE) data for an optimized crystal structure of LiTiSb2I, as listed in Alexandria.

Values from the calculation:
The total magnetic moment comes out at 0.00 μB/atom. The value obtained for the volume is 167.5 Å³ per cell. The calculation puts the excess energy over the best structure of this formula in the dataset at 0.000 eV/atom. The uncorrected formation energy comes out at -0.5 eV/f.u. The crystal system is tetragonal.

Lattice parameters (Å, degrees): 5.1943 5.1943 6.2085 90.00 90.00 90.00
Fractional positions:
1 Li 0.0000 0.0000 0.0000
2 Ti 0.5000 0.5000 0.5000
3 Sb 0.0000 0.5000 0.5000
4 Sb 0.5000 0.0000 0.5000
5 I 0.5000 0.5000 0.0000

---

Record 6
First-principles (GGA-PBE) data for an optimized crystal structure of LiTlSbI2, as listed in Alexandria.

Values from the calculation:
The total magnetic moment comes out at 0.39 μB/atom. The value obtained for the volume is 243.2 Å³ per cell. The calculation puts the excess energy over the best structure of this formula in the dataset at 0.204 eV/atom. The uncorrected formation energy comes out at 0.2 eV/f.u. The crystal system is tetragonal.

Lattice parameters (Å, degrees): 6.4759 6.4759 5.7988 90.00 90.00 90.00
Fractional positions:
1 Li 0.0000 0.0000 0.0000
2 Tl 0.5000 0.5000 0.5000
3 Sb 0.5000 0.5000 0.0000
4 I 0.0000 0.5000 0.5000
5 I 0.5000 0.0000 0.5000

---

Record 7
First-principles (GGA-PBE) data for an optimized crystal structure of LiTl2SbI6, as listed in Alexandria.

Values from the calculation:
The total magnetic moment comes out at 0.00 μB/atom. The value obtained for the volume is 788.6 Å³ per cell. The uncorrected formation energy comes out at -6.2 eV/f.u. The crystal system is monoclinic.

Lattice parameters (Å, degrees): 7.9842 8.5471 13.9997 90.00 124.37 90.00
Fractional positions:
1 Li 0.0000 0.0000 0.0000
2 Li 0.0000 0.5000 0.5000
3 Tl 0.2123 0.0961 0.7480
4 Tl 0.2123 0.4039 0.2480
5 Tl 0.7877 0.5961 0.7520
6 Tl 0.7877 0.9039 0.2520
7 Sb 0.5000 0.0000 0.5000
8 Sb 0.5000 0.5000 0.0000
9 I 0.1351 0.1920 0.4489
10 I 0.1351 0.3080 0.9489
11 I 0.2648 0.6938 0.4508
12 I 0.2648 0.8062 0.9508
13 I 0.3555 0.0168 0.2467
14 I 0.3555 0.4832 0.7467
15 I 0.6445 0.5168 0.2533
16 I 0.6445 0.9832 0.7533
17 I 0.7352 0.1938 0.0492
18 I 0.7352 0.3062 0.5492
19 I 0.8649 0.6920 0.0511
20 I 0.8649 0.8080 0.5511

---

Record 8
First-principles (GGA-PBE) data for an optimized crystal structure of LiTlSbI2, as listed in Alexandria.

Values from the calculation:
The total magnetic moment comes out at 0.00 μB/atom. The value obtained for the volume is 167.5 Å³ per cell. The calculation puts the excess energy over the best structure of this formula in the dataset at 0.000 eV/atom. The uncorrected formation energy comes out at -0.8 eV/f.u. The crystal system is tetragonal.

Lattice parameters (Å, degrees): 5.6862 5.6862 5.1806 90.00 90.00 90.00
Fractional positions:
1 Li 0.0000 0.0000 0.0000
2 Tl 0.5000 0.5000 0.5000
3 Sb 0.0000 0.0000 0.5000
4 I 0.0000 0.5000 0.0000
5 I 0.5000 0.0000 0.0000

---

| no. | energy (eV per cell) |
| --- | --- |
| 1 | -10.76 |
| 2 | -12.68 |
| 3 | -13.32 |
| 4 | -16.84 |
| 5 | -20.10 |
| 6 | -11.27 |
| 7 | -52.51 |
| 8 | -12.29 |